# 1
BaNa2SnAs2 | GGA-PBE | relaxed

Computed properties:
**Density**: 4.39 g/cm³
**E**: -42.729 eV for the cell shown
**Size of the total moment**: 0.00 Bohr magnetons per cell
**Formation energy**: -0.584 eV per atom
**Volume**: 342.0 Å³ per cell

The structure in CIF format:
```
data_BaNa2SnAs2
_symmetry_space_group_name_H-M 'P m c 21'
_symmetry_Int_Tables_number 26
_cell_length_a 4.417
_cell_length_b 10.192
_cell_length_c 7.597
_cell_angle_alpha 90.00
_cell_angle_beta 90.00
_cell_angle_gamma 90.00
loop_
_symmetry_equiv_pos_as_xyz
'x,y,z'
'-x,-y,z+1/2'
'-x,y,z'
'x,-y,z+1/2'
loop_
_atom_site_label
_atom_site_type_symbol
_atom_site_fract_x
_atom_site_fract_y
_atom_site_fract_z
Ba1 Ba 0.000 0.075 0.000
Na1 Na 0.000 0.344 0.374
Na2 Na 0.500 0.426 0.060
Sn1 Sn 0.500 0.217 0.666
As1 As 0.000 0.376 0.762
As2 As 0.500 0.165 0.314
```


# 2
BaNaSr2As | GGA-PBE | relaxed

Computed properties:
**Density**: 2.78 g/cm³
**E**: -13.718 eV for the cell shown
**Size of the total moment**: 0.14 Bohr magnetons per cell
**Formation energy**: -0.493 eV per atom
**Volume**: 244.8 Å³ per cell

The structure in CIF format:
```
data_BaNaSr2As
_symmetry_space_group_name_H-M 'P 4/m m m'
_symmetry_Int_Tables_number 123
_symmetry_space_group_name_Hall '-P 4 2'
_cell_length_a 6.134
_cell_length_b 6.134
_cell_length_c 6.505
_cell_angle_alpha 90.00
_cell_angle_beta 90.00
_cell_angle_gamma 90.00
loop_
_atom_site_label
_atom_site_type_symbol
_atom_site_fract_x
_atom_site_fract_y
_atom_site_fract_z
Ba1 Ba 0.000 0.000 0.000
Na1 Na 0.500 0.500 0.000
Sr1 Sr 0.000 0.500 0.500
As1 As 0.000 0.000 0.500
```


# 3
BaNa2Te4As | GGA-PBE | relaxed

Computed properties:
**Density**: 4.35 g/cm³
**E**: -55.253 eV for the cell shown
**Size of the total moment**: 0.00 Bohr magnetons per cell
**Volume**: 586.8 Å³ per cell

The structure in CIF format:
```
data_BaNa2Te4As
_symmetry_space_group_name_H-M 'I 2 2 2'
_symmetry_Int_Tables_number 23
_cell_length_a 8.235
_cell_length_b 8.236
_cell_length_c 8.653
_cell_angle_alpha 90.00
_cell_angle_beta 90.00
_cell_angle_gamma 90.00
loop_
_symmetry_equiv_pos_as_xyz
'x,y,z'
'-x,-y,z'
'x,-y,-z'
'-x,y,-z'
'x+1/2,y+1/2,z+1/2'
'-x+1/2,-y+1/2,z+1/2'
'x+1/2,-y+1/2,-z+1/2'
'-x+1/2,y+1/2,-z+1/2'
loop_
_atom_site_label
_atom_site_type_symbol
_atom_site_fract_x
_atom_site_fract_y
_atom_site_fract_z
Ba1 Ba 0.000 0.000 0.000
Na1 Na 0.000 0.500 0.249
Te1 Te 0.193 0.193 0.326
As1 As 0.000 0.000 0.500
```